# 1
An optimized crystal structure of BaY2TlO, computed with PBE-GGA.

```
5
Lattice="-4.1565 2.3250 1.2139 -2.0228 -4.2896 1.2896 1.8268 0.6467 5.0164" Properties=species:S:1:pos:R:3 pbc="T T T"
O 0.0000 0.0000 0.0000
Ba 0.9134 0.3233 2.5082
Tl -2.1763 -0.6590 3.7600
Y -1.0114 -2.1448 0.6448
Y -2.0782 1.1625 0.6070
```

Computed properties:
Symmetry: P4/mmm, No. 123
Total moment (μB/atom): 0.000
DFT total energy (eV per atom): -5.583

---

# 2
An optimized crystal structure of K2Zn3InAu4, computed with PBE-GGA.

```
10
Lattice="4.6604 0.0000 0.0000 0.0000 4.6604 0.0000 0.0000 0.0000 10.8927" Properties=species:S:1:pos:R:3 pbc="T T T"
Au 2.3302 0.0000 6.9706
K 2.3302 0.0000 2.5930
Zn 0.0000 0.0000 5.4463
Zn 0.0000 2.3302 1.3030
Zn 2.3302 0.0000 9.5897
Au 0.0000 0.0000 0.0000
In 2.3302 2.3302 5.4463
Au 0.0000 2.3302 3.9221
Au 2.3302 2.3302 0.0000
K 0.0000 2.3302 8.2997
```

Computed properties:
Symmetry: P-4m2, No. 115
Total moment (μB/atom): 0.000
DFT total energy (eV per atom): -2.436
DFT formation energy (eV per atom): -0.25

---

# 3
An optimized crystal structure of BaAlIN2, computed with PBE-GGA.

```
5
Lattice="-0.2699 -2.7005 3.4364 3.6782 1.7192 1.6400 -2.9345 3.7140 2.6882" Properties=species:S:1:pos:R:3 pbc="T T T"
N -0.1350 -1.3503 1.7182
Al 0.0000 0.0000 0.0000
I -1.4673 1.8570 1.3441
Ba 0.2369 1.3664 3.8823
N 1.8391 0.8596 0.8200
```

Computed properties:
Symmetry: P4/mmm, No. 123
Total moment (μB/atom): 0.382
DFT total energy (eV per atom): -4.443
ΔE to the lowest computed polymorph (eV/atom): 0.000

---

# 4
An optimized crystal structure of NaMg4Pt5, computed with PBE-GGA.

```
10
Lattice="2.9527 0.0000 0.0000 0.0000 2.9527 0.0000 0.0000 0.0000 18.8149" Properties=species:S:1:pos:R:3 pbc="T T T"
Pt 1.4764 1.4764 9.4074
Pt 1.4764 1.4764 13.0053
Na 0.0000 0.0000 0.0000
Pt 1.4764 1.4764 5.8096
Mg 0.0000 0.0000 3.9754
Mg 0.0000 0.0000 7.6071
Mg 0.0000 0.0000 14.8395
Pt 1.4764 1.4764 16.5761
Pt 1.4764 1.4764 2.2387
Mg 0.0000 0.0000 11.2077
```

Computed properties:
Symmetry: P4/mmm, No. 123
Total moment (μB/atom): 0.000
DFT total energy (eV per atom): -4.514
DFT formation energy (eV per atom): -0.72